# 1
Ac2Pa2N5 after structural relaxation. Source: Alexandria, functional PBE.

Crystal system: monoclinic
Uncorrected formation energy (eV per formula unit): -12.70
Uncorrected energy (eV/atom): -9.06
Space-group type: C2/m, No. 12

Unit cell a=6.726 b=6.726 c=7.032 alpha=121.00 beta=121.00 gamma=37.24
Atoms (fractional coordinates):
Ac: 0.128 0.128 0.286
Ac: 0.872 0.872 0.714
Pa: 0.386 0.386 0.185
Pa: 0.614 0.614 0.815
N: 0.161 0.161 0.945
N: 0.379 0.379 0.490
N: 0.500 0.500 0.000
N: 0.621 0.621 0.510
N: 0.839 0.839 0.055



# 2
AcPa6N12 after structural relaxation. Source: Alexandria, functional PBE.

Crystal system: trigonal
Uncorrected formation energy (eV per formula unit): -18.66
Uncorrected energy (eV/atom): -9.46
Space-group type: R-3m, No. 166

Unit cell a=7.082 b=7.082 c=7.082 alpha=109.40 beta=109.40 gamma=109.40
Atoms (fractional coordinates):
Ac: 0.000 0.000 0.000
Pa: 0.266 0.266 0.706
Pa: 0.266 0.706 0.266
Pa: 0.294 0.734 0.734
Pa: 0.706 0.266 0.266
Pa: 0.734 0.294 0.734
Pa: 0.734 0.734 0.294
N: 0.113 0.500 0.887
N: 0.113 0.887 0.500
N: 0.132 0.414 0.414
N: 0.414 0.132 0.414
N: 0.414 0.414 0.132
N: 0.500 0.113 0.887
N: 0.500 0.887 0.113
N: 0.586 0.586 0.868
N: 0.586 0.868 0.586
N: 0.868 0.586 0.586
N: 0.887 0.113 0.500
N: 0.887 0.500 0.113



# 3
Ac3Pa2N7 after structural relaxation. Source: Alexandria, functional PBE.

Crystal system: orthorhombic
Uncorrected formation energy (eV per formula unit): -12.26
Uncorrected energy (eV/atom): -8.49
Space-group type: Cmmm, No. 65

Unit cell a=11.380 b=11.380 c=4.273 alpha=90.00 beta=90.00 gamma=157.26
Atoms (fractional coordinates):
Ac: 0.000 0.000 0.000
Ac: 0.182 0.818 0.000
Ac: 0.818 0.182 0.000
Pa: 0.400 0.600 0.500
Pa: 0.600 0.400 0.500
N: 0.099 0.901 0.500
N: 0.300 0.700 0.500
N: 0.395 0.605 0.000
N: 0.500 0.500 0.500
N: 0.605 0.395 0.000
N: 0.700 0.300 0.500
N: 0.901 0.099 0.500



# 4
Ac2Pa2N7 after structural relaxation. Source: Alexandria, functional PBE.

Crystal system: orthorhombic
Uncorrected formation energy (eV per formula unit): -8.08
Uncorrected energy (eV/atom): -8.51
Space-group type: Cmmm, No. 65

Unit cell a=5.592 b=5.592 c=5.907 alpha=90.00 beta=90.00 gamma=95.19
Atoms (fractional coordinates):
Ac: 0.248 0.248 0.000
Ac: 0.752 0.752 0.000
Pa: 0.272 0.728 0.500
Pa: 0.728 0.272 0.500
N: 0.000 0.000 0.500
N: 0.000 0.500 0.270
N: 0.000 0.500 0.730
N: 0.500 0.000 0.270
N: 0.500 0.000 0.730
N: 0.500 0.500 0.276
N: 0.500 0.500 0.724



# 5
AcPa4N6 after structural relaxation. Source: Alexandria, functional PBE.

Crystal system: orthorhombic
Uncorrected formation energy (eV per formula unit): -16.93
Uncorrected energy (eV/atom): -9.91
Space-group type: Cmcm, No. 63

Unit cell a=6.075 b=6.075 c=17.249 alpha=90.00 beta=90.00 gamma=146.28
Atoms (fractional coordinates):
Ac: 0.163 0.837 0.750
Ac: 0.837 0.163 0.250
Pa: 0.098 0.902 0.132
Pa: 0.098 0.902 0.368
Pa: 0.364 0.636 0.045
Pa: 0.364 0.636 0.455
Pa: 0.636 0.364 0.545
Pa: 0.636 0.364 0.955
Pa: 0.902 0.098 0.632
Pa: 0.902 0.098 0.868
N: 0.000 0.000 0.000
N: 0.000 0.000 0.500
N: 0.175 0.825 0.250
N: 0.268 0.732 0.593
N: 0.268 0.732 0.907
N: 0.465 0.535 0.154
N: 0.465 0.535 0.346
N: 0.535 0.465 0.654
N: 0.535 0.465 0.846
N: 0.732 0.268 0.093
N: 0.732 0.268 0.407
N: 0.825 0.175 0.750



# 6
AcPa2PdN4 after structural relaxation. Source: Alexandria, functional PBE.

Crystal system: orthorhombic
Uncorrected formation energy (eV per formula unit): -9.99
Uncorrected energy (eV/atom): -8.95
Space-group type: Cmcm, No. 63

Unit cell a=6.155 b=6.155 c=11.926 alpha=90.00 beta=90.00 gamma=145.69
Atoms (fractional coordinates):
Ac: 0.102 0.898 0.750
Ac: 0.898 0.102 0.250
Pa: 0.369 0.631 0.559
Pa: 0.369 0.631 0.941
Pa: 0.631 0.369 0.059
Pa: 0.631 0.369 0.441
Pd: 0.168 0.832 0.250
Pd: 0.832 0.168 0.750
N: 0.000 0.000 0.000
N: 0.000 0.000 0.500
N: 0.267 0.733 0.095
N: 0.267 0.733 0.405
N: 0.449 0.551 0.750
N: 0.551 0.449 0.250
N: 0.733 0.267 0.595
N: 0.733 0.267 0.905



# 7
AcPaPdN3 after structural relaxation. Source: Alexandria, functional PBE.

Crystal system: monoclinic
Uncorrected formation energy (eV per formula unit): -5.94
Uncorrected energy (eV/atom): -8.28
Space-group type: P2_1/m, No. 11

Unit cell a=7.289 b=3.774 c=8.543 alpha=90.00 beta=114.70 gamma=90.00
Atoms (fractional coordinates):
Ac: 0.228 0.250 0.197
Ac: 0.772 0.750 0.803
Pa: 0.316 0.250 0.819
Pa: 0.684 0.750 0.181
Pd: 0.145 0.750 0.460
Pd: 0.855 0.250 0.540
N: 0.013 0.250 0.812
N: 0.360 0.750 0.030
N: 0.377 0.750 0.693
N: 0.623 0.250 0.307
N: 0.640 0.250 0.970
N: 0.987 0.750 0.188



# 8
Ac3PmPa2N6 after structural relaxation. Source: Alexandria, functional PBE.

Crystal system: monoclinic
Uncorrected formation energy (eV per formula unit): -16.66
Uncorrected energy (eV/atom): -8.56
Space-group type: C2/m, No. 12

Unit cell a=8.335 b=8.335 c=7.490 alpha=105.09 beta=105.09 gamma=25.43
Atoms (fractional coordinates):
Ac: 0.000 0.000 0.000
Ac: 0.333 0.333 0.664
Ac: 0.667 0.667 0.336
Pm: 0.000 0.000 0.500
Pa: 0.334 0.334 0.171
Pa: 0.666 0.666 0.829
N: 0.162 0.162 0.624
N: 0.179 0.179 0.046
N: 0.479 0.479 0.253
N: 0.521 0.521 0.747
N: 0.821 0.821 0.954
N: 0.838 0.838 0.376